DFT (PBE-GGA) results for crystalline SrGa2HgPd at its relaxed geometry.

The structure belongs to space group P4/mmm (No. 123); the cell edges are 4.8787, 4.8787 and 5.3313 Å and the angles 90.00°, 90.00° and 90.00°. Symmetry generates all atoms from Sr at (0.0000, 0.0000, 0.0000), Ga at (0.0000, 0.5000, 0.5000), Hg at (0.5000, 0.5000, 0.0000) and Pd at (0.5000, 0.5000, 0.5000).

The calculation puts the total magnetic moment at 0.00 μB per formula unit. As for the total energy: -2.9651 eV per atom. For the calculated formation energy, the calculation gives -0.3191 eV/atom.